Entry 1:
The following is a DFT calculation (GGA-PBE) of a relaxed Tb5Pr2Sm4 crystal.

a b c (Å): 12.2159 12.2159 8.8560
angles (deg): 96.48 96.48 16.40
With the nearest neighbours (Å) after each atom.
Fractional coordinates of all 11 atoms:
1 Tb 0.0000 0.0000 0.0000  6 Tb 3.48-3.88, 4 Sm 3.68, 4 Pr 3.78
2 Tb 0.2673 0.2673 0.1725  1 Pr 3.43, 7 Tb 3.48-3.57, 3 Sm 3.59-3.71
3 Tb 0.3581 0.3581 0.8815  3 Sm 3.32-3.60, 1 Pr 3.44, 5 Tb 3.48-3.57
4 Tb 0.6419 0.6419 0.1185  3 Sm 3.32-3.60, 1 Pr 3.44, 5 Tb 3.48-3.57
5 Tb 0.7327 0.7327 0.8275  1 Pr 3.43, 7 Tb 3.48-3.57, 3 Sm 3.59-3.71
6 Pr 0.4093 0.4093 0.2607  2 Sm 3.32-3.42, 2 Tb 3.43-3.44, 2 Pr 3.48
7 Pr 0.5907 0.5907 0.7393  2 Sm 3.32-3.42, 2 Tb 3.43-3.44, 2 Pr 3.48
8 Sm 0.1788 0.1788 0.4709  6 Sm 3.48-3.84, 5 Tb 3.59-3.71, 2 Pr 3.79
9 Sm 0.4540 0.4540 0.6409  2 Pr 3.32-3.42, 3 Tb 3.32-3.68, 5 Sm 3.48-3.69
10 Sm 0.5460 0.5460 0.3591  2 Pr 3.32-3.42, 3 Tb 3.32-3.68, 5 Sm 3.48-3.69
11 Sm 0.8212 0.8212 0.5291  6 Sm 3.48-3.84, 5 Tb 3.59-3.71, 2 Pr 3.79

## Properties
Excess energy over the best structure of this formula in the dataset (meV/atom): 0.0

***

Entry 2:
The following is a DFT calculation (GGA-PBE) of a relaxed Tb2Pr6Sm crystal.

a b c (Å): 8.3402 8.3402 10.6204
angles (deg): 90.00 90.00 90.00
With the nearest neighbours (Å) after each atom.
Fractional coordinates of all 18 atoms:
1 Tb 0.0000 0.0000 0.1658  6 Pr 3.08-3.33
2 Tb 0.0000 0.0000 0.8342  6 Pr 3.08-3.33
3 Tb 0.5000 0.5000 0.3342  6 Pr 3.08-3.33
4 Tb 0.5000 0.5000 0.6658  6 Pr 3.08-3.33
5 Pr 0.2382 0.2382 0.0000  1 Sm 3.09, 2 Tb 3.32
6 Pr 0.2386 0.2386 0.3336  2 Tb 3.08-3.33, 1 Sm 3.32
7 Pr 0.2386 0.2386 0.6664  2 Tb 3.08-3.33, 1 Sm 3.32
8 Pr 0.2614 0.7386 0.1664  2 Tb 3.08-3.33, 1 Sm 3.32
9 Pr 0.2614 0.7386 0.8336  2 Tb 3.08-3.33, 1 Sm 3.32
10 Pr 0.2618 0.7382 0.5000  1 Sm 3.09, 2 Tb 3.32
11 Pr 0.7382 0.2618 0.5000  1 Sm 3.09, 2 Tb 3.32
12 Pr 0.7386 0.2614 0.1664  2 Tb 3.08-3.33, 1 Sm 3.32
13 Pr 0.7386 0.2614 0.8336  2 Tb 3.08-3.33, 1 Sm 3.32
14 Pr 0.7614 0.7614 0.3336  2 Tb 3.08-3.33, 1 Sm 3.32
15 Pr 0.7614 0.7614 0.6664  2 Tb 3.08-3.33, 1 Sm 3.32
16 Pr 0.7618 0.7618 0.0000  1 Sm 3.09, 2 Tb 3.32
17 Sm 0.0000 0.0000 0.5000  6 Pr 3.09-3.32
18 Sm 0.5000 0.5000 0.0000  6 Pr 3.09-3.32

## Properties
Excess energy over the best structure of this formula in the dataset (meV/atom): 438.5

***

Entry 3:
The following is a DFT calculation (GGA-PBE) of a relaxed Tb3Pr9Sm2 crystal.

a b c (Å): 9.2113 9.2113 13.9669
angles (deg): 90.00 90.00 120.00
With the nearest neighbours (Å) after each atom.
Fractional coordinates of all 28 atoms:
1 Tb 0.0779 0.2489 0.2500  4 Pr 3.25-3.58, 2 Tb 3.52
2 Tb 0.1710 0.9221 0.2500  4 Pr 3.25-3.58, 2 Tb 3.52
3 Tb 0.2489 0.1710 0.7500  4 Pr 3.25-3.58, 2 Tb 3.52
4 Tb 0.7511 0.8290 0.2500  4 Pr 3.25-3.58, 2 Tb 3.52
5 Tb 0.8290 0.0779 0.7500  4 Pr 3.25-3.58, 2 Tb 3.52
6 Tb 0.9221 0.7511 0.7500  4 Pr 3.25-3.58, 2 Tb 3.52
7 Pr 0.0800 0.4808 0.7500  2 Tb 3.25-3.46, 4 Pr 3.59-3.63
8 Pr 0.1305 0.7250 0.5397  1 Sm 3.35, 4 Pr 3.48-3.68, 1 Tb 3.58
9 Pr 0.1305 0.7250 0.9603  1 Sm 3.35, 4 Pr 3.48-3.68, 1 Tb 3.58
10 Pr 0.2750 0.4055 0.5397  1 Sm 3.35, 4 Pr 3.48-3.68, 1 Tb 3.58
11 Pr 0.2750 0.4055 0.9603  1 Sm 3.35, 4 Pr 3.48-3.68, 1 Tb 3.58
12 Pr 0.4008 0.9200 0.7500  2 Tb 3.25-3.46, 4 Pr 3.59-3.63
13 Pr 0.4055 0.1305 0.0397  1 Sm 3.35, 4 Pr 3.48-3.68, 1 Tb 3.58
14 Pr 0.4055 0.1305 0.4603  1 Sm 3.35, 4 Pr 3.48-3.68, 1 Tb 3.58
15 Pr 0.4808 0.4008 0.2500  2 Tb 3.25-3.46, 4 Pr 3.59-3.63
16 Pr 0.5192 0.5992 0.7500  2 Tb 3.25-3.46, 4 Pr 3.59-3.63
17 Pr 0.5945 0.8695 0.5397  1 Sm 3.35, 4 Pr 3.48-3.68, 1 Tb 3.58
18 Pr 0.5945 0.8695 0.9603  1 Sm 3.35, 4 Pr 3.48-3.68, 1 Tb 3.58
19 Pr 0.5992 0.0800 0.2500  2 Tb 3.25-3.46, 4 Pr 3.59-3.63
20 Pr 0.7250 0.5945 0.0397  1 Sm 3.35, 4 Pr 3.48-3.68, 1 Tb 3.58
21 Pr 0.7250 0.5945 0.4603  1 Sm 3.35, 4 Pr 3.48-3.68, 1 Tb 3.58
22 Pr 0.8695 0.2750 0.0397  1 Sm 3.35, 4 Pr 3.48-3.68, 1 Tb 3.58
23 Pr 0.8695 0.2750 0.4603  1 Sm 3.35, 4 Pr 3.48-3.68, 1 Tb 3.58
24 Pr 0.9200 0.5192 0.2500  2 Tb 3.25-3.46, 4 Pr 3.59-3.63
25 Sm 0.3333 0.6667 0.1419  1 Sm 3.02, 3 Pr 3.35
26 Sm 0.3333 0.6667 0.3581  1 Sm 3.02, 3 Pr 3.35
27 Sm 0.6667 0.3333 0.6419  1 Sm 3.02, 3 Pr 3.35
28 Sm 0.6667 0.3333 0.8581  1 Sm 3.02, 3 Pr 3.35

***

Entry 4:
The following is a DFT calculation (GGA-PBE) of a relaxed Tb2Pr2Sm7 crystal.

a b c (Å): 10.5463 10.5463 3.6704
angles (deg): 96.15 96.15 68.60
With the nearest neighbours (Å) after each atom.
Fractional coordinates of all 11 atoms:
1 Tb 0.2493 0.7507 0.0000  8 Sm 3.25-3.57
2 Tb 0.7507 0.2493 0.0000  8 Sm 3.25-3.57
3 Pr 0.2969 0.2969 0.8279  9 Sm 3.54-3.94, 2 Pr 3.67
4 Pr 0.7031 0.7031 0.1721  9 Sm 3.54-3.94, 2 Pr 3.67
5 Sm 0.0797 0.5891 0.3162  2 Tb 3.25-3.57, 3 Sm 3.39-3.50, 1 Pr 3.54
6 Sm 0.0994 0.0994 0.2426  7 Sm 3.46-3.83, 2 Tb 3.49, 1 Pr 3.81
7 Sm 0.4109 0.9203 0.6838  2 Tb 3.25-3.57, 3 Sm 3.39-3.50, 1 Pr 3.54
8 Sm 0.5000 0.5000 0.5000  4 Tb 3.50, 2 Sm 3.67, 2 Pr 3.88
9 Sm 0.5891 0.0797 0.3162  2 Tb 3.25-3.57, 3 Sm 3.39-3.50, 1 Pr 3.54
10 Sm 0.9006 0.9006 0.7574  7 Sm 3.46-3.83, 2 Tb 3.49, 1 Pr 3.81
11 Sm 0.9203 0.4109 0.6838  2 Tb 3.25-3.57, 3 Sm 3.39-3.50, 1 Pr 3.54

## Properties
Excess energy over the best structure of this formula in the dataset (meV/atom): 12.9

***

Per-record Fermi-level density of states, states/eV per atom: 1.8039, 1.7248, 1.2883, 1.3592
Per-record energy of formation, eV per atom: 0.142, 0.587, 0.232, 0.114
Per-record raw total energy, eV per atom: -4.55, -4.15, -4.51, -4.60